Density functional theory data (PBE+U) for a relaxed structure of Cr3Ni2O8.

Summary:
DFT total energy   -6.5489 eV per atom
Space group   C2/m (12)

Cell: 5.637 5.637 4.992 Å, 96.62 96.62 62.70°
Atoms (fractional coordinates):
Cr  0.000  0.000  0.000
Cr  0.259  0.741  0.500
Cr  0.741  0.259  0.500
Ni  0.287  0.287  0.942
Ni  0.713  0.713  0.058
O  0.100  0.100  0.348
O  0.106  0.650  0.145
O  0.350  0.894  0.855
O  0.396  0.396  0.629
O  0.604  0.604  0.371
O  0.650  0.106  0.145
O  0.894  0.350  0.855
O  0.900  0.900  0.652